Entry 1:
Crystalline Pr2DyHo12 at its relaxed geometry. Source: Alexandria via LeMat-Bulk, functional PBE.

Cell: 6.4104 6.4104 24.9390 Å, 90.00 90.00 90.00°
Space group P4/nbm (No. 125, origin choice 2)
Inequivalent atoms, fractional coordinates:
Pr  0.2500  0.7500  0.2286 (multiplicity 4)
Dy  0.2500  0.7500  0.5000 (multiplicity 2)
Ho  0.0637  0.5637  0.3846 (multiplicity 8)
Ho  0.0812  0.5812  0.0603 (multiplicity 8)
Ho  0.2500  0.2500  0.1595 (multiplicity 4)
Ho  0.2500  0.2500  0.2854 (multiplicity 4)


Entry 2:
Crystalline GeW2C at its relaxed geometry. Source: Alexandria via LeMat-Bulk, functional PBE.

Cell: 4.9660 4.9660 11.2824 Å, 90.00 90.00 90.00°
Space group I-42d (No. 122)
Inequivalent atoms, fractional coordinates:
Ge  0.0000  0.0000  0.0000 (multiplicity 4)
W  0.1477  0.2500  0.6250 (multiplicity 8)
C  0.0000  0.0000  0.5000 (multiplicity 4)

Properties
**Energy above the most stable polymorph in this dataset**: 764 meV/atom


Entry 3:
Crystalline Sm2YHo at its relaxed geometry. Source: Alexandria via LeMat-Bulk, functional PBE.

Cell: 3.6566 11.4748 6.3192 Å, 90.00 90.00 90.00°
Space group Imm2 (No. 44)
Inequivalent atoms, fractional coordinates:
Sm  0.0000  0.2488  0.0000 (multiplicity 4)
Y  0.0000  0.0000  0.3330 (multiplicity 2)
Ho  0.0000  0.5000  0.3318 (multiplicity 2)

Properties
**Energy above the most stable polymorph in this dataset**: 9 meV/atom


| no. | total moment (μB/atom) | ΔE_f (eV/f.u.) |
| --- | --- | --- |
| 1 | 0.000 | 4.92 |
| 2 | 0.000 | 3.81 |
| 3 | 0.000 | 0.09 |